Entry 1:
OsPb3O6: optimized geometry, PBE.

The formation energy (no corrections) is -1.018 eV per atom.

The space group is Cmc2_1 (No. 36) and the conventional cell measures 9.7734, 12.8970 and 6.1575 Å, with angles of 90.00, 90.00 and 90.00 degrees. The inequivalent atoms are Os at (0.0000, 0.1961, 0.0000), Pb at (0.0000, 0.4057, 0.4568), Pb at (0.2140, 0.0889, 0.4743), O at (0.0000, 0.0599, 0.0769), O at (0.0000, 0.2101, 0.7101), O at (0.1489, 0.2600, 0.1176) and O at (0.1546, 0.4943, 0.7156).



Entry 2:
YAg3: optimized geometry, PBE.

The formation energy from the elements is -0.1004 eV per atom.

The space group is P2/m (No. 10) and the conventional cell measures 3.2950, 4.8267 and 5.5722 Å, with angles of 90.00, 90.41 and 90.00 degrees. The inequivalent atoms are Y at (0.0000, 0.0000, 0.0000), Ag at (0.4941, 0.5000, 0.7526) and Ag at (0.5000, 0.0000, 0.5000).



Entry 3:
LiPmPuSb: optimized geometry, PBE.

The formation energy (no corrections) is -0.313 eV per atom.

The space group is F-43m (No. 216) and the conventional cell measures 7.5105, 7.5105 and 7.5105 Å, with angles of 90.00, 90.00 and 90.00 degrees. The inequivalent atoms are Li at (0.0000, 0.0000, 0.0000), Pm at (0.2500, 0.2500, 0.7500), Pu at (0.2500, 0.2500, 0.2500) and Sb at (0.0000, 0.0000, 0.5000).



Entry 4:
Cs8RbI4: optimized geometry, PBE.

The formation energy (no corrections) is -0.897 eV per atom.

The space group is I4/m (No. 87) and the conventional cell measures 19.7137, 19.7137 and 5.4716 Å, with angles of 90.00, 90.00 and 90.00 degrees. The inequivalent atoms are Cs at (0.0385, 0.3370, 0.0000), Cs at (0.1428, 0.8226, 0.5000), Rb at (0.0000, 0.0000, 0.0000) and I at (0.1577, 0.6793, 0.0000).



Entry 5:
CaTlAsI6: optimized geometry, PBE.

The formation energy (no corrections) is -0.741 eV per atom.

The space group is P312 (No. 149) and the conventional cell measures 7.7902, 7.7902 and 7.5860 Å, with angles of 90.00, 90.00 and 120.00 degrees. The inequivalent atoms are Ca at (0.0000, 0.0000, 0.0000), Tl at (0.6667, 0.3333, 0.5000), As at (0.3333, 0.6667, 0.0000) and I at (0.0427, 0.3568, 0.2259).



Entry 6:
TmMg4Sn2: optimized geometry, PBE.

The formation energy from the elements is -0.2259 eV per atom.

The space group is P4_2/mnm (No. 136) and the conventional cell measures 8.6441, 8.6441 and 4.5590 Å, with angles of 90.00, 90.00 and 90.00 degrees. The inequivalent atoms are Tm at (0.0000, 0.0000, 0.0000), Mg at (0.1031, 0.3563, 0.5000) and Sn at (0.1889, 0.8111, 0.5000).



Entry 7:
LiAc2Cd: optimized geometry, PBE.

The formation energy from the elements is -0.1207 eV per atom.

The space group is Fm-3m (No. 225) and the conventional cell measures 8.1306, 8.1306 and 8.1306 Å, with angles of 90.00, 90.00 and 90.00 degrees. The inequivalent atoms are Li at (0.0000, 0.0000, 0.0000), Ac at (0.2500, 0.2500, 0.2500) and Cd at (0.0000, 0.0000, 0.5000).



no.,mass density (g/cm3),calculated total energy (eV/atom)
1,7.77,-6.2281
2,7.73,-3.8548
3,8.12,-6.5931
4,2.59,-1.9739
5,4.50,-2.7759
6,4.91,-2.9196
7,7.09,-2.8822